(a)
# YScZn | OQMD via LeMat-Bulk | PBE | relaxed
# magnetic moment	0.00	μB per atom
data_YScZn
_chemical_formula_sum 'Y4 Sc4 Zn4'
_symmetry_space_group_name_H-M 'P 1'
_symmetry_Int_Tables_number 1
_cell_length_a 6.7863
_cell_length_b 6.7863
_cell_length_c 6.7863
_cell_angle_alpha 90.00
_cell_angle_beta 90.00
_cell_angle_gamma 90.00
loop_
_symmetry_equiv_pos_as_xyz
'x,y,z'
loop_
_atom_site_label
_atom_site_fract_x
_atom_site_fract_y
_atom_site_fract_z
_atom_site_occupancy
Y1 0.0000 0.0000 0.0000 1
Y2 0.0000 0.5000 0.5000 1
Y3 0.5000 0.0000 0.5000 1
Y4 0.5000 0.5000 0.0000 1
Sc1 0.0000 0.0000 0.5000 1
Sc2 0.0000 0.5000 0.0000 1
Sc3 0.5000 0.0000 0.0000 1
Sc4 0.5000 0.5000 0.5000 1
Zn1 0.2500 0.2500 0.7500 1
Zn2 0.2500 0.7500 0.2500 1
Zn3 0.7500 0.2500 0.2500 1
Zn4 0.7500 0.7500 0.7500 1


(b)
# YScZn | OQMD via LeMat-Bulk | PBE | relaxed
# magnetic moment	0.00	μB per atom
data_YScZn
_chemical_formula_sum 'Y4 Sc4 Zn4'
_symmetry_space_group_name_H-M 'P 1'
_symmetry_Int_Tables_number 1
_cell_length_a 6.8207
_cell_length_b 6.8207
_cell_length_c 6.8207
_cell_angle_alpha 90.00
_cell_angle_beta 90.00
_cell_angle_gamma 90.00
loop_
_symmetry_equiv_pos_as_xyz
'x,y,z'
loop_
_atom_site_label
_atom_site_fract_x
_atom_site_fract_y
_atom_site_fract_z
_atom_site_occupancy
Y1 0.0000 0.0000 0.0000 1
Y2 0.0000 0.5000 0.5000 1
Y3 0.5000 0.0000 0.5000 1
Y4 0.5000 0.5000 0.0000 1
Sc1 0.2500 0.2500 0.7500 1
Sc2 0.2500 0.7500 0.2500 1
Sc3 0.7500 0.2500 0.2500 1
Sc4 0.7500 0.7500 0.7500 1
Zn1 0.2500 0.2500 0.2500 1
Zn2 0.2500 0.7500 0.7500 1
Zn3 0.7500 0.2500 0.7500 1
Zn4 0.7500 0.7500 0.2500 1


(c)
# YScZn | OQMD via LeMat-Bulk | PBE | relaxed
# magnetic moment	0.00	μB per atom
data_YScZn
_chemical_formula_sum 'Y4 Sc4 Zn4'
_symmetry_space_group_name_H-M 'P 1'
_symmetry_Int_Tables_number 1
_cell_length_a 6.2890
_cell_length_b 4.9738
_cell_length_c 8.8666
_cell_angle_alpha 90.00
_cell_angle_beta 90.00
_cell_angle_gamma 90.00
loop_
_symmetry_equiv_pos_as_xyz
'x,y,z'
loop_
_atom_site_label
_atom_site_fract_x
_atom_site_fract_y
_atom_site_fract_z
_atom_site_occupancy
Y1 0.1793 0.2500 0.0786 1
Y2 0.3207 0.7500 0.5786 1
Y3 0.6793 0.2500 0.4214 1
Y4 0.8207 0.7500 0.9214 1
Sc1 0.0136 0.2500 0.7013 1
Sc2 0.4864 0.7500 0.2013 1
Sc3 0.5136 0.2500 0.7987 1
Sc4 0.9864 0.7500 0.2987 1
Zn1 0.2046 0.2500 0.4063 1
Zn2 0.2954 0.7500 0.9063 1
Zn3 0.7046 0.2500 0.0937 1
Zn4 0.7954 0.7500 0.5937 1


Which of them is most stable, and which least? Most stable: (c); least stable: (b).


(a)
# Sc3Zn4 | OQMD via LeMat-Bulk | PBE | relaxed
# magnetic moment	0.00	μB per atom
data_Sc3Zn4
_chemical_formula_sum 'Sc6 Zn8'
_symmetry_space_group_name_H-M 'P 1'
_symmetry_Int_Tables_number 1
_cell_length_a 7.8699
_cell_length_b 7.8699
_cell_length_c 4.8012
_cell_angle_alpha 90.00
_cell_angle_beta 90.00
_cell_angle_gamma 120.00
loop_
_symmetry_equiv_pos_as_xyz
'x,y,z'
loop_
_atom_site_label
_atom_site_fract_x
_atom_site_fract_y
_atom_site_fract_z
_atom_site_occupancy
Sc1 0.0762 0.2672 0.2500 1
Sc2 0.1910 0.9238 0.2500 1
Sc3 0.2672 0.1910 0.7500 1
Sc4 0.7328 0.8090 0.2500 1
Sc5 0.8090 0.0762 0.7500 1
Sc6 0.9238 0.7328 0.7500 1
Zn1 0.1051 0.4866 0.7500 1
Zn2 0.3333 0.6667 0.2500 1
Zn3 0.3815 0.8949 0.7500 1
Zn4 0.4866 0.3815 0.2500 1
Zn5 0.5134 0.6185 0.7500 1
Zn6 0.6185 0.1051 0.2500 1
Zn7 0.6667 0.3333 0.7500 1
Zn8 0.8949 0.5134 0.2500 1


(b)
# Sc3Zn4 | OQMD via LeMat-Bulk | PBE | relaxed
# magnetic moment	0.00	μB per atom
data_Sc3Zn4
_chemical_formula_sum 'Sc6 Zn8'
_symmetry_space_group_name_H-M 'P 1'
_symmetry_Int_Tables_number 1
_cell_length_a 8.1539
_cell_length_b 8.1539
_cell_length_c 4.5013
_cell_angle_alpha 90.00
_cell_angle_beta 90.00
_cell_angle_gamma 120.00
loop_
_symmetry_equiv_pos_as_xyz
'x,y,z'
loop_
_atom_site_label
_atom_site_fract_x
_atom_site_fract_y
_atom_site_fract_z
_atom_site_occupancy
Sc1 0.1011 0.6513 0.2500 1
Sc2 0.3487 0.4498 0.2500 1
Sc3 0.4498 0.1011 0.7500 1
Sc4 0.5502 0.8989 0.2500 1
Sc5 0.6513 0.5502 0.7500 1
Sc6 0.8989 0.3487 0.7500 1
Zn1 0.0418 0.8198 0.7500 1
Zn2 0.1802 0.2220 0.7500 1
Zn3 0.2220 0.0418 0.2500 1
Zn4 0.3333 0.6667 0.7500 1
Zn5 0.6667 0.3333 0.2500 1
Zn6 0.7780 0.9582 0.7500 1
Zn7 0.8198 0.7780 0.2500 1
Zn8 0.9582 0.1802 0.2500 1


Which of them is most stable, and which least? Most stable: (b); least stable: (a).